Record 1
{"formula": "TaAl2Hg", "functional": "PBE", "state": "relaxed", "lattice_angstrom": [[2.905, 0.000, 0.000], [0.000, 2.905, 0.000], [0.000, 0.000, 8.807]], "species": ["Ta", "Al", "Al", "Hg"], "frac_coords": [[0.000, 0.000, 0.000], [0.500, 0.500, 0.224], [0.500, 0.500, 0.776], [0.000, 0.000, 0.500]], "sg": "P4/mmm", "ef_ev_per_fu": 0.1, "dos_ef_per_ev_fu": 2.5, "magnetic_moment_mub_per_fu": 0.00, "total_energy_ev_per_atom": -4.873}



Record 2
{"formula": "Ta2Al2Hg", "functional": "PBE", "state": "relaxed", "lattice_angstrom": [[6.846, 0.000, 0.000], [0.000, 6.846, 0.000], [0.000, 0.000, 3.721]], "species": ["Ta", "Ta", "Ta", "Ta", "Al", "Al", "Al", "Al", "Hg", "Hg"], "frac_coords": [[0.172, 0.328, 0.000], [0.328, 0.828, 0.000], [0.672, 0.172, 0.000], [0.828, 0.672, 0.000], [0.126, 0.626, 0.500], [0.374, 0.126, 0.500], [0.626, 0.874, 0.500], [0.874, 0.374, 0.500], [0.000, 0.000, 0.500], [0.500, 0.500, 0.500]], "sg": "P4/mbm", "ef_ev_per_fu": 0.9, "dos_ef_per_ev_fu": 2.8, "magnetic_moment_mub_per_fu": 0.00, "total_energy_ev_per_atom": -6.118}



Record 3
{"formula": "Ta3AlHg", "functional": "PBE", "state": "relaxed", "lattice_angstrom": [[4.713, 0.000, 0.000], [0.000, 4.713, 0.000], [0.000, 0.000, 4.713]], "species": ["Ta", "Ta", "Ta", "Al", "Hg"], "frac_coords": [[0.000, 0.000, 0.500], [0.000, 0.500, 0.000], [0.500, 0.000, 0.000], [0.000, 0.000, 0.000], [0.500, 0.500, 0.500]], "sg": "Pm-3m", "ef_ev_per_fu": 6.2, "dos_ef_per_ev_fu": 0.1, "magnetic_moment_mub_per_fu": 0.00, "total_energy_ev_per_atom": -6.680}



Record 4
{"formula": "TaAl2Hg", "functional": "PBE", "state": "relaxed", "lattice_angstrom": [[4.222, 0.000, 0.000], [0.000, 4.222, 0.000], [0.000, 0.000, 3.882]], "species": ["Ta", "Al", "Al", "Hg"], "frac_coords": [[0.000, 0.000, 0.000], [0.000, 0.500, 0.500], [0.500, 0.000, 0.500], [0.500, 0.500, 0.000]], "sg": "P4/mmm", "ef_ev_per_fu": 0.3, "dos_ef_per_ev_fu": 1.6, "magnetic_moment_mub_per_fu": 0.00, "total_energy_ev_per_atom": -4.844}



Record 5
{"formula": "TaAl2Hg", "functional": "PBE", "state": "relaxed", "lattice_angstrom": [[2.974, -4.073, 0.000], [2.974, 4.073, 0.000], [0.000, 0.000, 2.948]], "species": ["Ta", "Al", "Al", "Hg"], "frac_coords": [[0.000, 0.000, 0.000], [0.000, 0.500, 0.500], [0.500, 0.000, 0.500], [0.500, 0.500, 0.000]], "sg": "Cmmm", "ef_ev_per_fu": 0.2, "dos_ef_per_ev_fu": 2.2, "magnetic_moment_mub_per_fu": 0.00, "total_energy_ev_per_atom": -4.867}



Record 6
{"formula": "Ta4AlHg", "functional": "PBE", "state": "relaxed", "lattice_angstrom": [[0.000, 3.890, 3.890], [3.890, 0.000, 3.890], [3.890, 3.890, 0.000]], "species": ["Ta", "Ta", "Ta", "Ta", "Al", "Hg"], "frac_coords": [[0.124, 0.124, 0.124], [0.124, 0.124, 0.628], [0.124, 0.628, 0.124], [0.628, 0.124, 0.124], [0.750, 0.750, 0.750], [0.500, 0.500, 0.500]], "sg": "F-43m", "ef_ev_per_fu": 2.9, "dos_ef_per_ev_fu": 4.8, "magnetic_moment_mub_per_fu": 0.00, "total_energy_ev_per_atom": -8.092}



Record 7
{"formula": "TaAlHg4", "functional": "PBE", "state": "relaxed", "lattice_angstrom": [[0.000, 4.071, 4.071], [4.071, 0.000, 4.071], [4.071, 4.071, 0.000]], "species": ["Ta", "Al", "Hg", "Hg", "Hg", "Hg"], "frac_coords": [[0.000, 0.000, 0.000], [0.750, 0.750, 0.750], [0.375, 0.375, 0.375], [0.375, 0.375, 0.876], [0.375, 0.876, 0.375], [0.876, 0.375, 0.375]], "sg": "F-43m", "ef_ev_per_fu": 4.9, "dos_ef_per_ev_fu": 4.9, "magnetic_moment_mub_per_fu": 2.28, "total_energy_ev_per_atom": -1.989}



Record 8
{"formula": "TaAl3Hg", "functional": "PBE", "state": "relaxed", "lattice_angstrom": [[4.851, 0.000, 0.000], [0.000, 4.851, 0.000], [0.000, 0.000, 4.851]], "species": ["Ta", "Al", "Al", "Al", "Hg"], "frac_coords": [[0.000, 0.000, 0.000], [0.000, 0.500, 0.500], [0.500, 0.000, 0.500], [0.500, 0.500, 0.000], [0.500, 0.500, 0.500]], "sg": "Pm-3m", "ef_ev_per_fu": 6.6, "dos_ef_per_ev_fu": 1.8, "magnetic_moment_mub_per_fu": 0.00, "total_energy_ev_per_atom": -3.366}



Record 9
{"formula": "TaAl2Hg", "functional": "PBE", "state": "relaxed", "lattice_angstrom": [[2.873, 0.000, 0.000], [0.000, 2.873, 0.000], [0.000, 0.000, 8.820]], "species": ["Ta", "Al", "Al", "Hg"], "frac_coords": [[0.000, 0.000, 0.000], [0.000, 0.000, 0.470], [0.500, 0.500, 0.228], [0.500, 0.500, 0.734]], "sg": "P4mm", "ef_ev_per_fu": 0.5, "dos_ef_per_ev_fu": 1.7, "magnetic_moment_mub_per_fu": 0.00, "total_energy_ev_per_atom": -4.773}



Record 10
{"formula": "TaAl2Hg", "functional": "PBE", "state": "relaxed", "lattice_angstrom": [[3.545, 0.000, 0.000], [0.000, 3.545, 0.000], [0.000, 0.000, 5.721]], "species": ["Ta", "Al", "Al", "Hg"], "frac_coords": [[0.000, 0.000, 0.000], [0.000, 0.000, 0.475], [0.500, 0.500, 0.215], [0.500, 0.500, 0.710]], "sg": "P4mm", "ef_ev_per_fu": 0.7, "dos_ef_per_ev_fu": 2.9, "magnetic_moment_mub_per_fu": 0.00, "total_energy_ev_per_atom": -4.735}



Record 11
{"formula": "TaAl2Hg", "functional": "PBE", "state": "relaxed", "lattice_angstrom": [[2.874, 0.000, 0.000], [0.000, 4.719, 0.000], [0.000, 0.000, 5.345]], "species": ["Ta", "Al", "Al", "Hg"], "frac_coords": [[0.000, 0.000, 0.000], [0.500, 0.000, 0.538], [0.500, 0.500, 0.804], [0.500, 0.500, 0.291]], "sg": "Pmm2", "ef_ev_per_fu": 0.3, "dos_ef_per_ev_fu": 2.0, "magnetic_moment_mub_per_fu": 0.00, "total_energy_ev_per_atom": -4.839}



Record 12
{"formula": "TaAl2Hg", "functional": "PBE", "state": "relaxed", "lattice_angstrom": [[3.002, -4.661, 0.000], [3.002, 4.661, 0.000], [-1.412, 0.000, 2.590]], "species": ["Ta", "Al", "Al", "Hg"], "frac_coords": [[0.000, 0.000, 0.000], [0.000, 0.500, 0.500], [0.500, 0.000, 0.500], [0.500, 0.500, 0.000]], "sg": "C2/m", "ef_ev_per_fu": 0.4, "dos_ef_per_ev_fu": 1.4, "magnetic_moment_mub_per_fu": 0.00, "total_energy_ev_per_atom": -4.799}



Record 13
{"formula": "TaAl2Hg", "functional": "PBE", "state": "relaxed", "lattice_angstrom": [[4.931, 0.000, 0.000], [0.000, 4.931, 0.000], [0.000, 0.000, 2.971]], "species": ["Ta", "Al", "Al", "Hg"], "frac_coords": [[0.000, 0.000, 0.000], [0.000, 0.500, 0.500], [0.500, 0.000, 0.500], [0.500, 0.500, 0.000]], "sg": "P4/mmm", "ef_ev_per_fu": 0.4, "dos_ef_per_ev_fu": 2.0, "magnetic_moment_mub_per_fu": 0.00, "total_energy_ev_per_atom": -4.802}



Record 14
{"formula": "TaAl3Hg", "functional": "PBE", "state": "relaxed", "lattice_angstrom": [[5.119, 0.000, 0.000], [0.000, 5.119, 0.000], [0.000, 0.000, 5.119]], "species": ["Ta", "Al", "Al", "Al", "Hg"], "frac_coords": [[0.000, 0.000, 0.000], [0.000, 0.000, 0.500], [0.000, 0.500, 0.000], [0.500, 0.000, 0.000], [0.500, 0.500, 0.500]], "sg": "Pm-3m", "ef_ev_per_fu": 4.5, "dos_ef_per_ev_fu": 5.5, "magnetic_moment_mub_per_fu": 0.00, "total_energy_ev_per_atom": -3.786}